! CaTc2Se, PBEsol geometry, DFT meta-GGA SCAN; values from VASP
&SYSTEM
  ibrav = 0, nat = 4, ntyp = 3
/
ATOMIC_SPECIES
Ca 40.08 Ca.upf
Tc 98.00 Tc.upf
Se 78.96 Se.upf
CELL_PARAMETERS angstrom
4.302 0.000 0.000
0.000 4.302 0.000
0.000 0.000 3.404
ATOMIC_POSITIONS crystal
Ca 0.000 0.000 0.000
Tc 0.000 0.500 0.500
Tc 0.500 0.000 0.500
Se 0.500 0.500 0.000
! Formation energy from raw total energies = 0.619 eV per atom
! Crystal system = tetragonal
! SG = P4/mmm